The following is a DFT calculation (PBE) of crystalline Zr4InTc at its relaxed geometry.

Unit cell a=8.2620 b=4.7797 c=7.9255 alpha=90.00 beta=110.37 gamma=90.00
Last column: nearest neighbours and their distance in Å.
Fractional positions:
Zr (0.1141, 0.0000, 0.3436)  1 Tc 2.55
Zr (0.1350, 0.5000, 0.9045)  3 Tc 2.84-2.85, 1 In 3.01, 3 Zr 3.10
Zr (0.3650, 0.0000, 0.0955)  3 Tc 2.84-2.85, 1 In 3.01, 3 Zr 3.10
Zr (0.3859, 0.5000, 0.6564)  1 Tc 2.55
Zr (0.6141, 0.5000, 0.3436)  1 Tc 2.55
Zr (0.6350, 0.0000, 0.9045)  3 Tc 2.84-2.85, 1 In 3.01, 3 Zr 3.10
Zr (0.8650, 0.5000, 0.0955)  3 Tc 2.84-2.85, 1 In 3.01, 3 Zr 3.10
Zr (0.8859, 0.0000, 0.6564)  1 Tc 2.55
In (0.0000, 0.5000, 0.5000)  8 Zr 2.99-3.01
In (0.5000, 0.0000, 0.5000)  8 Zr 2.99-3.01
Tc (0.0000, 0.0000, 0.0000)  8 Zr 2.55-2.85
Tc (0.5000, 0.5000, 0.0000)  8 Zr 2.55-2.85

Properties
As for the space group: C2/m. The density of states at the Fermi level is 1.059 states/eV/atom. The calculation puts the formation energy at 8.78 kJ/mol of atoms.